Record 1
A plane-wave DFT calculation with GGA-PBE was carried out for a relaxed structure of Mg2CdGa2Ag4.

It has space group C2/m (No. 12), with a = 14.1138 Å, b = 3.4287 Å, c = 7.5007 Å, α = 90.00°, β = 112.52° and γ = 90.00°. The inequivalent atoms are Mg at (0.1276, 0.0000, 0.1562), Cd at (0.0000, 0.0000, 0.5000), Ga at (0.1746, 0.5000, 0.5081), Ag at (0.0311, 0.5000, 0.8318) and Ag at (0.2014, 0.0000, 0.8322).

The formation energy is -0.11 eV/atom. The calculation puts the total DFT energy (no corrections) at -2.505 eV/atom.



Record 2
A plane-wave DFT calculation with GGA-PBE was carried out for a relaxed structure of MgCdGaAg2.

It has space group P3m1 (No. 156), with a = 4.6505 Å, b = 4.6505 Å, c = 5.4665 Å, α = 90.00°, β = 90.00° and γ = 120.00°. The inequivalent atoms are Mg at (0.0000, 0.0000, 0.0000), Cd at (0.6667, 0.3333, 0.4076), Ga at (0.3333, 0.6667, 0.6793), Ag at (0.3333, 0.6667, 0.1799) and Ag at (0.6667, 0.3333, 0.9023).

The formation energy is -0.09 eV/atom. The calculation puts the total DFT energy (no corrections) at -2.334 eV/atom.



Record 3
A plane-wave DFT calculation with GGA-PBE was carried out for a relaxed structure of Mg5Cd2GaAg2.

It has space group P4/mbm (No. 127), with a = 10.9982 Å, b = 10.9982 Å, c = 3.5435 Å, α = 90.00°, β = 90.00° and γ = 90.00°. The inequivalent atoms are Mg at (0.0000, 0.5000, 0.0000), Mg at (0.0636, 0.1930, 0.0000), Cd at (0.1726, 0.6726, 0.5000), Ga at (0.0000, 0.0000, 0.5000) and Ag at (0.1339, 0.3661, 0.5000).

The formation energy is -0.06 eV/atom. The calculation puts the total DFT energy (no corrections) at -1.915 eV/atom.



Record 4
A plane-wave DFT calculation with GGA-PBE was carried out for a relaxed structure of CdGaAgN2.

It has space group P4/mmm (No. 123), with a = 4.2479 Å, b = 4.2479 Å, c = 5.5162 Å, α = 90.00°, β = 90.00° and γ = 90.00°. The inequivalent atoms are Cd at (0.0000, 0.0000, 0.0000), Ga at (0.5000, 0.5000, 0.5000), Ag at (0.0000, 0.0000, 0.5000) and N at (0.0000, 0.5000, 0.0000).

The calculation puts the total DFT energy (no corrections) at -2.996 eV/atom.



Record 5
A plane-wave DFT calculation with GGA-PBE was carried out for a relaxed structure of Cd2GaAgN.

It has space group P4/mmm (No. 123), with a = 5.1586 Å, b = 5.1586 Å, c = 5.0056 Å, α = 90.00°, β = 90.00° and γ = 90.00°. The inequivalent atoms are Cd at (0.0000, 0.5000, 0.0000), Ga at (0.0000, 0.0000, 0.0000), Ag at (0.0000, 0.0000, 0.5000) and N at (0.5000, 0.5000, 0.5000).

The calculation puts the total DFT energy (no corrections) at -1.996 eV/atom.



Record 6
A plane-wave DFT calculation with GGA-PBE was carried out for a relaxed structure of NaCdGaAg.

It has space group F-43m (No. 216), with a = 6.8554 Å, b = 6.8554 Å, c = 6.8554 Å, α = 90.00°, β = 90.00° and γ = 90.00°. The inequivalent atoms are Na at (0.0000, 0.0000, 0.0000), Cd at (0.2500, 0.2500, 0.2500), Ga at (0.0000, 0.0000, 0.5000) and Ag at (0.2500, 0.2500, 0.7500).

The formation energy is -0.03 eV/atom. The calculation puts the total DFT energy (no corrections) at -2.059 eV/atom.



Record 7
A plane-wave DFT calculation with GGA-PBE was carried out for a relaxed structure of Na2CdGa5Ag2.

It has space group P4/mbm (No. 127), with a = 9.6915 Å, b = 9.6915 Å, c = 4.3599 Å, α = 90.00°, β = 90.00° and γ = 90.00°. The inequivalent atoms are Na at (0.1831, 0.3169, 0.0000), Cd at (0.0000, 0.0000, 0.0000), Ga at (0.0000, 0.5000, 0.5000), Ga at (0.0561, 0.7986, 0.5000) and Ag at (0.1125, 0.6125, 0.0000).

The formation energy is -0.04 eV/atom. The calculation puts the total DFT energy (no corrections) at -2.483 eV/atom.



Record 8
A plane-wave DFT calculation with GGA-PBE was carried out for a relaxed structure of Na2Cd6GaAg.

It has space group R-3m (No. 166, hexagonal axes), with a = 7.1223 Å, b = 7.1223 Å, c = 36.4628 Å, α = 90.00°, β = 90.00° and γ = 120.00°. The inequivalent atoms are Na at (0.0000, 0.0000, 0.1323), Na at (0.0000, 0.0000, 0.3085), Cd at (0.0389, 0.5194, 0.7222), Cd at (0.0623, 0.5311, 0.8754), Ga at (0.0000, 0.0000, 0.4246), Ag at (0.0000, 0.0000, 0.0000) and Ag at (0.0000, 0.0000, 0.5000).

The formation energy is 0.04 eV/atom. The calculation puts the total DFT energy (no corrections) at -1.362 eV/atom.



Record 9
A plane-wave DFT calculation with GGA-PBE was carried out for a relaxed structure of Na2CdGa2Ag5.

It has space group P4/mbm (No. 127), with a = 11.2476 Å, b = 11.2476 Å, c = 3.2750 Å, α = 90.00°, β = 90.00° and γ = 90.00°. The inequivalent atoms are Na at (0.1731, 0.3269, 0.0000), Cd at (0.0000, 0.0000, 0.0000), Ga at (0.1315, 0.6315, 0.0000), Ag at (0.0000, 0.5000, 0.5000) and Ag at (0.0613, 0.8028, 0.5000).

The formation energy is -0.05 eV/atom. The calculation puts the total DFT energy (no corrections) at -2.436 eV/atom.



Record 10
A plane-wave DFT calculation with GGA-PBE was carried out for a relaxed structure of Na2Cd5GaAg2.

It has space group P4/mbm (No. 127), with a = 11.2606 Å, b = 11.2606 Å, c = 3.7164 Å, α = 90.00°, β = 90.00° and γ = 90.00°. The inequivalent atoms are Na at (0.1736, 0.3264, 0.0000), Cd at (0.0000, 0.5000, 0.5000), Cd at (0.0605, 0.8086, 0.5000), Ga at (0.0000, 0.0000, 0.0000) and Ag at (0.1318, 0.6318, 0.0000).

The formation energy is -0.03 eV/atom. The calculation puts the total DFT energy (no corrections) at -1.628 eV/atom.



Record 11
A plane-wave DFT calculation with GGA-PBE was carried out for a relaxed structure of NdCdGaAg.

It has space group F-43m (No. 216), with a = 7.0749 Å, b = 7.0749 Å, c = 7.0749 Å, α = 90.00°, β = 90.00° and γ = 90.00°. The inequivalent atoms are Nd at (0.0000, 0.0000, 0.0000), Cd at (0.0000, 0.0000, 0.5000), Ga at (0.2500, 0.2500, 0.2500) and Ag at (0.2500, 0.2500, 0.7500).

The formation energy is -0.36 eV/atom. The calculation puts the total DFT energy (no corrections) at -3.248 eV/atom.



Record 12
A plane-wave DFT calculation with GGA-PBE was carried out for a relaxed structure of Nd4Cd2GaAg.

It has space group R-3m (No. 166, hexagonal axes), with a = 5.3510 Å, b = 5.3510 Å, c = 26.3777 Å, α = 90.00°, β = 90.00° and γ = 120.00°. The inequivalent atoms are Nd at (0.0000, 0.0000, 0.1231), Nd at (0.0000, 0.0000, 0.3733), Cd at (0.0000, 0.0000, 0.2492), Ga at (0.0000, 0.0000, 0.0000) and Ag at (0.0000, 0.0000, 0.5000).

The formation energy is -0.35 eV/atom. The calculation puts the total DFT energy (no corrections) at -3.695 eV/atom.